[1]
A geometry-optimized Al2CuGeCl structure, computed with GGA-PBE.

Lattice parameters (Å, degrees): 4.687 4.793 4.687 90.00 90.00 90.00
Positions (direct):
Ge 0.000 0.500 0.000
Al 0.000 0.000 0.500
Al 0.500 0.000 0.000
Cu 0.000 0.000 0.000
Cl 0.500 0.500 0.500

Values from the calculation:
- E_tot: -3.462 eV per atom
- Volume: 105 Å³/f.u.
- Formation energy (no corrections): 0.147 eV/atom


[2]
A geometry-optimized K2In6Rh structure, computed with GGA-PBE.

Lattice parameters (Å, degrees): 6.216 6.801 6.801 60.01 89.93 89.93
Positions (direct):
K 0.818 0.666 0.666
K 0.182 0.334 0.334
In 0.302 0.337 0.832
In 0.302 0.831 0.831
In 0.302 0.832 0.337
In 0.698 0.663 0.168
In 0.698 0.169 0.169
In 0.698 0.168 0.663
Rh 0.000 0.000 0.000

Values from the calculation:
- E_tot: -3.003 eV per atom
- Volume: 249 Å³/f.u.
- DFT formation energy: -0.1167 eV/atom


[3]
A geometry-optimized LiZn3Hg3 structure, computed with GGA-PBE.

Lattice parameters (Å, degrees): 7.456 7.456 7.456 90.00 90.00 90.00
Positions (direct):
Zn 0.000 0.250 0.500
Zn 0.000 0.750 0.500
Zn 0.500 0.000 0.750
Zn 0.750 0.500 0.000
Zn 0.500 0.000 0.250
Zn 0.250 0.500 0.000
Hg 0.250 0.000 0.500
Hg 0.000 0.500 0.250
Hg 0.500 0.750 0.000
Hg 0.750 0.000 0.500
Hg 0.000 0.500 0.750
Hg 0.500 0.250 0.000
Li 0.500 0.500 0.500
Li 0.000 0.000 0.000

Values from the calculation:
- E_tot: -0.696 eV per atom
- Volume: 207 Å³/f.u.
- DFT formation energy: 0.2529 eV/atom


[4]
A geometry-optimized Be2IrPd2 structure, computed with GGA-PBE.

Lattice parameters (Å, degrees): 6.348 6.348 2.997 90.00 90.00 90.00
Positions (direct):
Be 0.364 0.864 0.000
Be 0.864 0.636 0.000
Be 0.636 0.136 0.000
Be 0.136 0.364 0.000
Ir 0.000 0.000 0.000
Ir 0.500 0.500 0.000
Pd 0.163 0.663 0.500
Pd 0.663 0.837 0.500
Pd 0.837 0.337 0.500
Pd 0.337 0.163 0.500

Values from the calculation:
- E_tot: -5.681 eV per atom
- Volume: 60 Å³/f.u.
- Energy above the most stable polymorph in this dataset: 0 kJ/mol of formula units
- DFT formation energy: -0.3414 eV/atom